(1)
# Pr2Pd4Au5

Crystalline Pr2Pd4Au5 at its relaxed geometry (PBE, Alexandria).

Calculated values
Formation energy from the elements in eV/f.u.: -5.531
DOS(E_F) in states/eV/f.u.: 3.67
Electronic total energy in eV per atom: -4.750

a = 5.5294 Å, b = 5.3786 Å, c = 9.5538 Å
α = 81.45°, β = 73.18°, γ = 59.07°
Closest atoms and distances in Å follow each position.
Fractional coordinates of all 11 atoms:
Pd (0.4659, 0.3238, 0.7443)  5 Au 2.75-2.84, 1 Pd 2.99
Pd (0.7897, 0.6762, 0.7443)  5 Au 2.75-2.84, 1 Pd 2.99
Pd (0.5341, 0.6762, 0.2557)  5 Au 2.75-2.84, 1 Pd 2.99
Pd (0.2103, 0.3238, 0.2557)  5 Au 2.75-2.84, 1 Pd 2.99
Au (0.2500, 0.5000, 0.5000)  4 Pd 2.75, 2 Au 2.76
Au (0.5000, 0.0000, 0.0000)  4 Au 2.69, 4 Pd 2.77
Au (0.5000, 0.5000, 0.0000)  4 Au 2.69-2.76, 4 Pd 2.84
Au (0.7500, 0.5000, 0.5000)  4 Pd 2.75, 2 Au 2.76
Au (0.0000, 0.5000, 0.0000)  4 Au 2.69-2.76, 4 Pd 2.84
Pr (0.1337, 0.0000, 0.7325)  6 Pd 3.12-3.14, 4 Au 3.43
Pr (0.8663, 0.0000, 0.2675)  6 Pd 3.12-3.14, 4 Au 3.43

(2)
# PrPd4Au3

Crystalline PrPd4Au3 at its relaxed geometry (PBE, Alexandria).

Calculated values
Formation energy from the elements in eV/f.u.: -3.252
DOS(E_F) in states/eV/f.u.: 3.34
Electronic total energy in eV per atom: -4.829

a = 5.0390 Å, b = 6.1899 Å, c = 9.3766 Å
α = 90.00°, β = 90.00°, γ = 90.00°
Closest atoms and distances in Å follow each position.
Fractional coordinates of all 16 atoms:
Pd (0.5000, 0.2376, 0.5000)  6 Au 2.88-2.92, 3 Pd 2.93-2.94, 2 Pr 3.00
Pd (0.1511, 0.2271, 0.7500)  5 Au 2.77-2.91, 3 Pd 2.81-2.93, 2 Pr 2.99
Pd (0.1511, 0.7729, 0.7500)  5 Au 2.77-2.91, 3 Pd 2.81-2.93, 2 Pr 2.99
Pd (0.5000, 0.2376, 0.0000)  6 Au 2.88-2.92, 3 Pd 2.93-2.94, 2 Pr 3.00
Pd (0.8489, 0.7729, 0.2500)  5 Au 2.77-2.91, 3 Pd 2.81-2.93, 2 Pr 2.99
Pd (0.5000, 0.7624, 0.0000)  6 Au 2.88-2.92, 3 Pd 2.93-2.94, 2 Pr 3.00
Pd (0.5000, 0.7624, 0.5000)  6 Au 2.88-2.92, 3 Pd 2.93-2.94, 2 Pr 3.00
Pd (0.8489, 0.2271, 0.2500)  5 Au 2.77-2.91, 3 Pd 2.81-2.93, 2 Pr 2.99
Pr (0.0000, 0.5000, 0.5000)  8 Pd 2.99-3.00, 4 Au 3.09-3.14
Pr (0.0000, 0.5000, 0.0000)  8 Pd 2.99-3.00, 4 Au 3.09-3.14
Au (0.0000, 0.0000, 0.5000)  8 Pd 2.84-2.92, 2 Au 2.92, 2 Pr 3.09
Au (0.3439, 0.0000, 0.2500)  8 Pd 2.86-2.91, 4 Au 2.92-3.11
Au (0.0000, 0.0000, 0.0000)  8 Pd 2.84-2.92, 2 Au 2.92, 2 Pr 3.09
Au (0.4131, 0.5000, 0.2500)  6 Pd 2.77-2.89
Au (0.6561, 0.0000, 0.7500)  8 Pd 2.86-2.91, 4 Au 2.92-3.11
Au (0.5869, 0.5000, 0.7500)  6 Pd 2.77-2.89

(3)
# Pr2Pd5Au

Crystalline Pr2Pd5Au at its relaxed geometry (PBE, Alexandria).

Calculated values
Formation energy from the elements in eV/f.u.: -5.982
DOS(E_F) in states/eV/f.u.: 1.84
Electronic total energy in eV per atom: -5.598

a = 5.9731 Å, b = 5.9731 Å, c = 5.9731 Å
α = 91.98°, β = 118.87°, γ = 118.87°
Closest atoms and distances in Å follow each position.
Fractional coordinates of all 8 atoms:
Pd (0.0000, 0.2780, 0.2780)  8 Pd 2.99, 4 Pr 3.04
Pd (0.4997, 0.2776, 0.2776)  2 Au 2.99, 6 Pd 2.99-3.04, 4 Pr 2.99
Pd (0.0000, 0.2776, 0.7779)  2 Au 2.99, 6 Pd 2.99-3.04, 4 Pr 2.99
Pd (0.5003, 0.7779, 0.7779)  2 Au 2.99, 6 Pd 2.99-3.04, 4 Pr 2.99
Pd (0.0000, 0.7779, 0.2776)  2 Au 2.99, 6 Pd 2.99-3.04, 4 Pr 2.99
Pr (0.5000, 0.7778, 0.2778)  10 Pd 2.99-3.04, 2 Au 3.04
Pr (0.5000, 0.2778, 0.7778)  10 Pd 2.99-3.04, 2 Au 3.04
Au (0.0000, 0.7774, 0.7774)  8 Pd 2.99, 4 Pr 3.04

(4)
# PrPd6Au

Crystalline PrPd6Au at its relaxed geometry (PBE, Alexandria).

Calculated values
Formation energy from the elements in eV/f.u.: -1.784
Offset from the most stable computed form in meV/atom: 149
DOS(E_F) in states/eV/f.u.: 5.00
Electronic total energy in eV per atom: -5.125

a = 5.2330 Å, b = 5.2330 Å, c = 5.2330 Å
α = 90.00°, β = 90.00°, γ = 90.00°
Closest atoms and distances in Å follow each position.
Fractional coordinates of all 8 atoms:
Pd (0.0000, 0.5000, 0.7561)  2 Pd 2.55-2.68
Pd (0.0000, 0.5000, 0.2439)  2 Pd 2.55-2.68
Pd (0.2439, 0.0000, 0.5000)  2 Pd 2.55-2.68
Pd (0.7561, 0.0000, 0.5000)  2 Pd 2.55-2.68
Pd (0.5000, 0.2439, 0.0000)  2 Pd 2.55-2.68
Pd (0.5000, 0.7561, 0.0000)  2 Pd 2.55-2.68
Au (0.0000, 0.0000, 0.0000)  12 Pd 2.91
Pr (0.5000, 0.5000, 0.5000)  12 Pd 2.94

(5)
# PrPd2Au

Crystalline PrPd2Au at its relaxed geometry (PBE, Alexandria).

Calculated values
Formation energy from the elements in eV/f.u.: -2.562
Offset from the most stable computed form in meV/atom: 50
DOS(E_F) in states/eV/f.u.: 1.16
Electronic total energy in eV per atom: -5.251

a = 4.6491 Å, b = 4.6491 Å, c = 5.2503 Å
α = 63.72°, β = 63.72°, γ = 60.00°
Closest atoms and distances in Å follow each position.
Fractional coordinates of all 4 atoms:
Pd (0.7839, 0.7839, 0.6483)  3 Au 2.77, 1 Pr 2.93, 3 Pd 3.00
Pd (0.2161, 0.2161, 0.3517)  3 Au 2.77, 1 Pr 2.93, 3 Pd 3.00
Au (0.5000, 0.5000, 0.5000)  6 Pd 2.77
Pr (0.0000, 0.0000, 0.0000)  8 Pd 2.93-3.12

(6)
# Pr3Pd2Au9

Crystalline Pr3Pd2Au9 at its relaxed geometry (PBE, Alexandria).

Calculated values
Formation energy from the elements in eV/f.u.: -8.188
DOS(E_F) in states/eV/f.u.: 5.52
Electronic total energy in eV per atom: -4.458

a = 4.6268 Å, b = 8.5248 Å, c = 8.5248 Å
α = 72.13°, β = 74.25°, γ = 74.25°
Closest atoms and distances in Å follow each position.
Fractional coordinates of all 14 atoms:
Pd (0.5000, 0.3327, 0.6673)  8 Au 2.86-2.88, 2 Pr 3.05
Pd (0.5000, 0.6673, 0.3327)  8 Au 2.86-2.88, 2 Pr 3.05
Au (0.3384, 0.2973, 0.0259)  4 Au 2.72-2.92, 1 Pd 2.88
Au (0.1239, 0.5996, 0.1526)  4 Au 2.75-2.92, 2 Pd 2.87
Au (0.3384, 0.0259, 0.2973)  4 Au 2.72-2.92, 1 Pd 2.88
Au (0.8761, 0.4004, 0.8474)  4 Au 2.75-2.92, 2 Pd 2.87
Au (0.6616, 0.9741, 0.7027)  4 Au 2.72-2.92, 1 Pd 2.88
Au (0.6616, 0.7027, 0.9741)  4 Au 2.72-2.92, 1 Pd 2.88
Au (0.8761, 0.8474, 0.4004)  4 Au 2.75-2.92, 2 Pd 2.87
Au (0.0000, 0.5000, 0.5000)  4 Au 2.76, 4 Pd 2.86
Au (0.1239, 0.1526, 0.5996)  4 Au 2.75-2.92, 2 Pd 2.87
Pr (0.6965, 0.3035, 0.3035)  2 Pd 3.05, 8 Au 3.26-3.36
Pr (0.0000, 0.0000, 0.0000)  12 Au 3.21-3.41
Pr (0.3035, 0.6965, 0.6965)  2 Pd 3.05, 8 Au 3.26-3.36